# 1
{
  "formula": "AcIn2Sb",
  "functional": "PBE",
  "state": "relaxed",
  "dos_ef_per_ev_atom": 0.4313,
  "crystal_system": "trigonal",
  "relative_energy_mev_per_atom": 230.4,
  "space_group": "R-3m, No. 166",
  "formation_energy_uncorrected_ev_per_atom": -0.287,
  "lattice": [[5.156, 0.000, 0.000], [-2.578, 4.465, 0.000], [0.000, 0.000, 16.573]],
  "species": ["Ac", "Ac", "Ac", "In", "In", "In", "In", "In", "In", "Sb", "Sb", "Sb"],
  "frac_coords": [[0.000, 0.000, 0.000], [0.333, 0.667, 0.667], [0.667, 0.333, 0.333], [0.000, 0.000, 0.222], [0.000, 0.000, 0.778], [0.333, 0.667, 0.445], [0.333, 0.667, 0.889], [0.667, 0.333, 0.111], [0.667, 0.333, 0.555], [0.000, 0.000, 0.500], [0.333, 0.667, 0.167], [0.667, 0.333, 0.833]]
}

---

# 2
{
  "formula": "Ac2InSb4",
  "functional": "PBE",
  "state": "relaxed",
  "dos_ef_per_ev_atom": 0.2739,
  "crystal_system": "tetragonal",
  "space_group": "P-4m2, No. 115",
  "formation_energy_uncorrected_ev_per_atom": -0.716,
  "lattice": [[4.530, 0.000, 0.000], [0.000, 4.530, 0.000], [0.000, 0.000, 11.467]],
  "species": ["Ac", "Ac", "In", "Sb", "Sb", "Sb", "Sb"],
  "frac_coords": [[0.000, 0.500, 0.228], [0.500, 0.000, 0.772], [0.000, 0.000, 0.500], [0.000, 0.000, 0.000], [0.000, 0.500, 0.664], [0.500, 0.000, 0.336], [0.500, 0.500, 0.000]]
}

---

# 3
{
  "formula": "AcInSbSe",
  "functional": "PBE",
  "state": "relaxed",
  "dos_ef_per_ev_atom": 0.1678,
  "crystal_system": "tetragonal",
  "space_group": "P4/nmm, No. 129",
  "formation_energy_uncorrected_ev_per_atom": -0.949,
  "lattice": [[5.360, 0.000, 0.000], [0.000, 5.360, 0.000], [0.000, 0.000, 8.800]],
  "species": ["Ac", "Ac", "In", "In", "Sb", "Sb", "Se", "Se"],
  "frac_coords": [[0.250, 0.250, 0.173], [0.750, 0.750, 0.827], [0.250, 0.750, 0.500], [0.750, 0.250, 0.500], [0.250, 0.250, 0.653], [0.750, 0.750, 0.347], [0.250, 0.750, 0.000], [0.750, 0.250, 0.000]]
}

---

# 4
{
  "formula": "AcInSnSb",
  "functional": "PBE",
  "state": "relaxed",
  "dos_ef_per_ev_atom": 1.0298,
  "crystal_system": "cubic",
  "space_group": "F-43m, No. 216",
  "formation_energy_uncorrected_ev_per_atom": -0.219,
  "lattice": [[7.929, 0.000, 0.000], [0.000, 7.929, 0.000], [0.000, 0.000, 7.929]],
  "species": ["Ac", "Ac", "Ac", "Ac", "In", "In", "In", "In", "Sn", "Sn", "Sn", "Sn", "Sb", "Sb", "Sb", "Sb"],
  "frac_coords": [[0.000, 0.000, 0.000], [0.000, 0.500, 0.500], [0.500, 0.000, 0.500], [0.500, 0.500, 0.000], [0.250, 0.250, 0.250], [0.250, 0.750, 0.750], [0.750, 0.250, 0.750], [0.750, 0.750, 0.250], [0.250, 0.250, 0.750], [0.250, 0.750, 0.250], [0.750, 0.250, 0.250], [0.750, 0.750, 0.750], [0.000, 0.000, 0.500], [0.000, 0.500, 0.000], [0.500, 0.000, 0.000], [0.500, 0.500, 0.500]]
}

---

# 5
{
  "formula": "SrAcInSb",
  "functional": "PBE",
  "state": "relaxed",
  "dos_ef_per_ev_atom": 0.9427,
  "crystal_system": "cubic",
  "space_group": "F-43m, No. 216",
  "formation_energy_uncorrected_ev_per_atom": -0.580,
  "lattice": [[8.164, 0.000, 0.000], [0.000, 8.164, 0.000], [0.000, 0.000, 8.164]],
  "species": ["Sr", "Sr", "Sr", "Sr", "Ac", "Ac", "Ac", "Ac", "In", "In", "In", "In", "Sb", "Sb", "Sb", "Sb"],
  "frac_coords": [[0.000, 0.000, 0.000], [0.000, 0.500, 0.500], [0.500, 0.000, 0.500], [0.500, 0.500, 0.000], [0.000, 0.000, 0.500], [0.000, 0.500, 0.000], [0.500, 0.000, 0.000], [0.500, 0.500, 0.500], [0.250, 0.250, 0.250], [0.250, 0.750, 0.750], [0.750, 0.250, 0.750], [0.750, 0.750, 0.250], [0.250, 0.250, 0.750], [0.250, 0.750, 0.250], [0.750, 0.250, 0.250], [0.750, 0.750, 0.750]]
}

---

# 6
{
  "formula": "Ac2ScIn",
  "functional": "PBE",
  "state": "relaxed",
  "dos_ef_per_ev_atom": 1.6811,
  "crystal_system": "cubic",
  "delta_e_f_ev_per_atom": -0.08,
  "relative_energy_mev_per_atom": 42.0,
  "space_group": "Fm-3m, No. 225",
  "lattice": [[8.172, 0.000, 0.000], [0.000, 8.172, 0.000], [0.000, 0.000, 8.172]],
  "species": ["Ac", "Ac", "Ac", "Ac", "Ac", "Ac", "Ac", "Ac", "Sc", "Sc", "Sc", "Sc", "In", "In", "In", "In"],
  "frac_coords": [[0.250, 0.250, 0.250], [0.250, 0.250, 0.750], [0.250, 0.750, 0.250], [0.250, 0.750, 0.750], [0.750, 0.250, 0.250], [0.750, 0.250, 0.750], [0.750, 0.750, 0.250], [0.750, 0.750, 0.750], [0.000, 0.000, 0.000], [0.000, 0.500, 0.500], [0.500, 0.000, 0.500], [0.500, 0.500, 0.000], [0.000, 0.000, 0.500], [0.000, 0.500, 0.000], [0.500, 0.000, 0.000], [0.500, 0.500, 0.500]]
}

---

# 7
{
  "formula": "Ac3ScIn3",
  "functional": "PBE",
  "state": "relaxed",
  "dos_ef_per_ev_atom": 0.9987,
  "crystal_system": "monoclinic",
  "delta_e_f_ev_per_atom": -0.38,
  "space_group": "C2/m, No. 12",
  "lattice": [[6.266, -2.506, 0.000], [6.266, 2.506, 0.000], [-5.827, 0.000, 15.326]],
  "species": ["Ac", "Ac", "Ac", "Ac", "Ac", "Ac", "Sc", "Sc", "In", "In", "In", "In", "In", "In"],
  "frac_coords": [[0.016, 0.016, 0.377], [0.101, 0.101, 0.921], [0.246, 0.246, 0.225], [0.754, 0.754, 0.775], [0.899, 0.899, 0.079], [0.984, 0.984, 0.623], [0.262, 0.262, 0.588], [0.738, 0.738, 0.412], [0.372, 0.372, 0.453], [0.389, 0.389, 0.925], [0.458, 0.458, 0.767], [0.542, 0.542, 0.233], [0.611, 0.611, 0.075], [0.628, 0.628, 0.547]]
}

---

# 8
{
  "formula": "Ac2ScIn",
  "functional": "PBE",
  "state": "relaxed",
  "dos_ef_per_ev_atom": 1.5496,
  "crystal_system": "tetragonal",
  "delta_e_f_ev_per_atom": -0.12,
  "relative_energy_mev_per_atom": 0.0,
  "space_group": "P4/mmm, No. 123",
  "lattice": [[5.171, 0.000, 0.000], [0.000, 5.171, 0.000], [0.000, 0.000, 5.015]],
  "species": ["Ac", "Ac", "Sc", "In"],
  "frac_coords": [[0.000, 0.500, 0.000], [0.500, 0.000, 0.000], [0.000, 0.000, 0.500], [0.500, 0.500, 0.500]]
}

---

# 9
{
  "formula": "AcSc2In",
  "functional": "PBE",
  "state": "relaxed",
  "dos_ef_per_ev_atom": 1.3973,
  "crystal_system": "trigonal",
  "delta_e_f_ev_per_atom": -0.05,
  "relative_energy_mev_per_atom": 104.6,
  "space_group": "R3m, No. 160",
  "lattice": [[4.977, 0.000, 0.000], [-2.488, 4.310, 0.000], [0.000, 0.000, 17.556]],
  "species": ["Ac", "Ac", "Ac", "Sc", "Sc", "Sc", "Sc", "Sc", "Sc", "In", "In", "In"],
  "frac_coords": [[0.000, 0.000, 0.000], [0.333, 0.667, 0.667], [0.667, 0.333, 0.333], [0.000, 0.000, 0.544], [0.000, 0.000, 0.790], [0.333, 0.667, 0.211], [0.333, 0.667, 0.457], [0.667, 0.333, 0.124], [0.667, 0.333, 0.878], [0.000, 0.000, 0.201], [0.333, 0.667, 0.867], [0.667, 0.333, 0.534]]
}

---

# 10
{
  "formula": "Ac3Sc2In4",
  "functional": "PBE",
  "state": "relaxed",
  "dos_ef_per_ev_atom": 0.8418,
  "crystal_system": "monoclinic",
  "delta_e_f_ev_per_atom": -0.36,
  "space_group": "C2/m, No. 12",
  "lattice": [[6.205, -2.538, 0.000], [6.205, 2.538, 0.000], [-4.337, 0.000, 9.027]],
  "species": ["Ac", "Ac", "Ac", "Sc", "Sc", "In", "In", "In", "In"],
  "frac_coords": [[0.000, 0.000, 0.000], [0.359, 0.359, 0.319], [0.641, 0.641, 0.681], [0.352, 0.352, 0.684], [0.648, 0.648, 0.316], [0.082, 0.082, 0.409], [0.295, 0.295, 0.952], [0.705, 0.705, 0.048], [0.918, 0.918, 0.591]]
}

---

# 11
{
  "formula": "Ac2ScIn4",
  "functional": "PBE",
  "state": "relaxed",
  "dos_ef_per_ev_atom": 0.8651,
  "crystal_system": "monoclinic",
  "delta_e_f_ev_per_atom": -0.24,
  "space_group": "P2/m, No. 10",
  "lattice": [[5.877, 0.000, 0.000], [0.000, 4.586, 0.000], [-1.357, 0.000, 8.134]],
  "species": ["Ac", "Ac", "Sc", "In", "In", "In", "In"],
  "frac_coords": [[0.249, 0.000, 0.168], [0.751, 0.000, 0.832], [0.500, 0.500, 0.500], [0.216, 0.000, 0.608], [0.270, 0.500, 0.844], [0.730, 0.500, 0.156], [0.784, 0.000, 0.392]]
}

---

# 12
{
  "formula": "AcSc2In",
  "functional": "PBE",
  "state": "relaxed",
  "dos_ef_per_ev_atom": 1.5142,
  "crystal_system": "cubic",
  "delta_e_f_ev_per_atom": -0.02,
  "relative_energy_mev_per_atom": 131.8,
  "space_group": "Fm-3m, No. 225",
  "lattice": [[7.595, 0.000, 0.000], [0.000, 7.595, 0.000], [0.000, 0.000, 7.595]],
  "species": ["Ac", "Ac", "Ac", "Ac", "Sc", "Sc", "Sc", "Sc", "Sc", "Sc", "Sc", "Sc", "In", "In", "In", "In"],
  "frac_coords": [[0.000, 0.000, 0.000], [0.000, 0.500, 0.500], [0.500, 0.000, 0.500], [0.500, 0.500, 0.000], [0.250, 0.250, 0.250], [0.250, 0.250, 0.750], [0.250, 0.750, 0.250], [0.250, 0.750, 0.750], [0.750, 0.250, 0.250], [0.750, 0.250, 0.750], [0.750, 0.750, 0.250], [0.750, 0.750, 0.750], [0.000, 0.000, 0.500], [0.000, 0.500, 0.000], [0.500, 0.000, 0.000], [0.500, 0.500, 0.500]]
}